# 1
The following is a GGA-PBE calculation of an optimized crystal structure of TbYLuZn, from Alexandria via LeMat-Bulk.

Unit cell a=5.308 b=5.308 c=5.308 alpha=60.00 beta=60.00 gamma=60.00
Positions (direct):
Tb 0.000 0.000 0.000
Y 0.500 0.500 0.500
Lu 0.250 0.250 0.250
Zn 0.750 0.750 0.750

Computed properties:
SG: F-43m (216)
Spin magnetization, μB/f.u.: 0.00
Energy of formation from the pure elements, eV/atom: 0.0199
DOS(E_F), states/eV/cell: 4.20

---

# 2
The following is a GGA-PBE calculation of an optimized crystal structure of SmMnTcC3, from Alexandria via LeMat-Bulk.

Unit cell a=5.919 b=3.384 c=7.691 alpha=90.00 beta=108.93 gamma=90.00
Positions (direct):
Sm 0.025 0.250 0.225
Sm 0.975 0.750 0.775
Mn 0.452 0.750 0.110
Mn 0.548 0.250 0.890
Tc 0.380 0.750 0.593
Tc 0.620 0.250 0.407
C 0.245 0.250 0.656
C 0.301 0.250 0.014
C 0.349 0.750 0.331
C 0.651 0.250 0.669
C 0.699 0.750 0.986
C 0.755 0.750 0.344

Computed properties:
SG: P2_1/m (11)
Spin magnetization, μB/f.u.: 0.51
Energy of formation from the pure elements, eV/atom: 0.0946
DOS(E_F), states/eV/cell: 7.14

---

# 3
The following is a GGA-PBE calculation of an optimized crystal structure of Cs2YCuI6, from Alexandria via LeMat-Bulk.

Unit cell a=8.164 b=8.479 c=8.558 alpha=114.78 beta=113.49 gamma=99.13
Positions (direct):
Cs 0.243 0.243 0.487
Cs 0.757 0.757 0.513
Y 0.000 0.500 0.000
Cu 0.500 0.000 0.000
I 0.218 0.839 0.001
I 0.228 0.728 0.457
I 0.289 0.322 0.000
I 0.711 0.678 0.000
I 0.772 0.272 0.543
I 0.782 0.161 0.999

Computed properties:
SG: P-1 (2)
Spin magnetization, μB/f.u.: 0.00
Formation energy from raw total energies, meV/atom: -1180
DOS(E_F), states/eV/cell: 0.00

---

# 4
The following is a GGA-PBE calculation of an optimized crystal structure of TiAlV4, from Alexandria via LeMat-Bulk.

Unit cell a=5.001 b=5.001 c=5.001 alpha=60.00 beta=60.00 gamma=60.00
Positions (direct):
Ti 0.000 0.000 0.000
Al 0.250 0.250 0.250
V 0.118 0.627 0.627
V 0.627 0.118 0.627
V 0.627 0.627 0.118
V 0.627 0.627 0.627

Computed properties:
SG: F-43m (216)
Spin magnetization, μB/f.u.: 0.00
Energy of formation from the pure elements, eV/atom: 0.0077
DOS(E_F), states/eV/cell: 6.36

---

# 5
The following is a GGA-PBE calculation of an optimized crystal structure of VAsOsSe2, from Alexandria via LeMat-Bulk.

Unit cell a=4.664 b=4.664 c=4.735 alpha=90.00 beta=90.00 gamma=90.00
Positions (direct):
V 0.000 0.000 0.000
As 0.000 0.000 0.500
Os 0.500 0.500 0.500
Se 0.000 0.500 0.000
Se 0.500 0.000 0.000

Computed properties:
SG: P4/mmm (123)
Spin magnetization, μB/f.u.: 2.53
Formation energy from raw total energies, meV/atom: 1075
DOS(E_F), states/eV/cell: 3.93

---

# 6
The following is a GGA-PBE calculation of an optimized crystal structure of HoF5, from Alexandria via LeMat-Bulk.

Unit cell a=5.064 b=5.064 c=3.999 alpha=90.00 beta=90.00 gamma=135.53
Positions (direct):
Ho 0.000 0.000 0.000
F 0.134 0.866 0.500
F 0.363 0.637 0.000
F 0.500 0.500 0.500
F 0.637 0.363 0.000
F 0.866 0.134 0.500

Computed properties:
SG: Cmmm (65)
Spin magnetization, μB/f.u.: 2.00
Formation energy from raw total energies, meV/atom: -2449
DOS(E_F), states/eV/cell: 2.67

---

# 7
The following is a GGA-PBE calculation of an optimized crystal structure of PuThNi, from Alexandria via LeMat-Bulk.

Unit cell a=6.013 b=6.013 c=6.013 alpha=145.80 beta=145.80 gamma=49.14
Positions (direct):
Pu 0.000 0.000 0.000
Th 0.708 0.708 0.000
Ni 0.341 0.341 0.000

Computed properties:
SG: I4mm (107)
Spin magnetization, μB/f.u.: 5.83
Energy of formation from the pure elements, eV/atom: -0.0566
DOS(E_F), states/eV/cell: 7.74

---

# 8
The following is a GGA-PBE calculation of an optimized crystal structure of Tb12Nd7Ho, from Alexandria via LeMat-Bulk.

Unit cell a=8.822 b=8.822 c=8.822 alpha=86.14 beta=86.14 gamma=86.14
Positions (direct):
Tb 0.003 0.884 0.365
Tb 0.116 0.635 0.997
Tb 0.227 0.354 0.751
Tb 0.249 0.773 0.646
Tb 0.354 0.751 0.227
Tb 0.365 0.003 0.884
Tb 0.635 0.997 0.116
Tb 0.646 0.249 0.773
Tb 0.751 0.227 0.354
Tb 0.773 0.646 0.249
Tb 0.884 0.365 0.003
Tb 0.997 0.116 0.635
Nd 0.000 0.000 0.000
Nd 0.101 0.420 0.346
Nd 0.346 0.101 0.420
Nd 0.420 0.346 0.101
Nd 0.580 0.654 0.899
Nd 0.654 0.899 0.580
Nd 0.899 0.580 0.654
Ho 0.500 0.500 0.500

Computed properties:
SG: R-3 (148)
Spin magnetization, μB/f.u.: 0.00
Energy of formation from the pure elements, eV/atom: 0.2296
DOS(E_F), states/eV/cell: 37.02

---

# 9
The following is a GGA-PBE calculation of an optimized crystal structure of TaGa2Os, from Alexandria via LeMat-Bulk.

Unit cell a=4.426 b=4.426 c=4.426 alpha=60.00 beta=60.00 gamma=60.00
Positions (direct):
Ta 0.000 0.000 0.000
Ga 0.250 0.250 0.250
Ga 0.750 0.750 0.750
Os 0.500 0.500 0.500

Computed properties:
SG: Fm-3m (225)
Spin magnetization, μB/f.u.: 0.00
Energy of formation from the pure elements, eV/atom: 0.1212
DOS(E_F), states/eV/cell: 3.36

---

# 10
The following is a GGA-PBE calculation of an optimized crystal structure of ErMn9Fe3, from Alexandria via LeMat-Bulk.

Unit cell a=6.290 b=6.290 c=6.295 alpha=97.79 beta=97.79 gamma=136.38
Positions (direct):
Er 0.000 0.000 0.000
Mn 0.001 0.639 0.639
Mn 0.276 0.501 0.774
Mn 0.361 0.999 0.361
Mn 0.499 0.724 0.226
Mn 0.500 0.500 0.500
Mn 0.501 0.276 0.774
Mn 0.639 0.001 0.639
Mn 0.724 0.499 0.226
Mn 0.999 0.361 0.361
Fe 0.000 0.000 0.500
Fe 0.000 0.500 0.000
Fe 0.500 0.000 0.000

Computed properties:
SG: C2/m (12)
Spin magnetization, μB/f.u.: 3.18
Energy of formation from the pure elements, eV/atom: 0.0026
DOS(E_F), states/eV/cell: 16.82

---

# 11
The following is a GGA-PBE calculation of an optimized crystal structure of GeAsPbO2, from Alexandria via LeMat-Bulk.

Unit cell a=4.195 b=4.195 c=5.672 alpha=90.00 beta=90.00 gamma=90.00
Positions (direct):
Ge 0.000 0.000 0.000
As 0.500 0.500 0.000
Pb 0.500 0.500 0.500
O 0.000 0.500 0.500
O 0.500 0.000 0.500

Computed properties:
SG: P4/mmm (123)
Spin magnetization, μB/f.u.: 0.00
Formation energy from raw total energies, meV/atom: 152
DOS(E_F), states/eV/cell: 4.48

---

# 12
The following is a GGA-PBE calculation of an optimized crystal structure of V2CrTe6, from Alexandria via LeMat-Bulk.

Unit cell a=8.958 b=8.958 c=8.214 alpha=109.79 beta=109.79 gamma=23.51
Positions (direct):
V 0.176 0.176 0.354
V 0.824 0.824 0.646
Cr 0.500 0.500 0.000
Te 0.008 0.008 0.246
Te 0.336 0.336 0.413
Te 0.336 0.336 0.902
Te 0.664 0.664 0.098
Te 0.664 0.664 0.587
Te 0.992 0.992 0.754

Computed properties:
SG: C2/m (12)
Spin magnetization, μB/f.u.: 4.90
Formation energy from raw total energies, meV/atom: -267
DOS(E_F), states/eV/cell: 5.52